Record 1
# Sn2Ru (PBE, relaxed)
# M_tot = 0.00 Bohr magnetons per cell
# DOS(E_F) = 0.50 states/eV/atom
# total energy = -0.4307 Ry per atom
data_Sn2Ru
_chemical_formula_sum 'Sn2 Ru1'
_cell_length_a 3.198
_cell_length_b 3.198
_cell_length_c 6.188
_cell_angle_alpha 90.00
_cell_angle_beta 90.00
_cell_angle_gamma 90.00
_space_group_name_H-M_alt 'P 4/m m m'
_space_group_IT_number 123
_space_group_name_Hall '-P 4 2'
loop_
_atom_site_label
_atom_site_fract_x
_atom_site_fract_y
_atom_site_fract_z
_atom_site_occupancy
Sn1 0.000 0.000 0.233 1
Ru1 0.500 0.500 0.500 1



Record 2
# Ac2OsI (PBE, relaxed)
# M_tot = 0.00 Bohr magnetons per cell
# DOS(E_F) = 0.64 states/eV/atom
# total energy = -0.4251 Ry per atom
data_Ac2OsI
_chemical_formula_sum 'Ac6 Os3 I3'
_cell_length_a 4.3838
_cell_length_b 4.3838
_cell_length_c 25.8357
_cell_angle_alpha 90.00
_cell_angle_beta 90.00
_cell_angle_gamma 120.00
_space_group_name_H-M_alt 'R 3 m'
_space_group_IT_number 160
_space_group_name_Hall 'R 3 -2"'
loop_
_atom_site_label
_atom_site_fract_x
_atom_site_fract_y
_atom_site_fract_z
_atom_site_occupancy
Ac1 0.0000 0.0000 0.0000 1
Ac2 0.0000 0.0000 0.2119 1
Os1 0.0000 0.0000 0.6053 1
I1 0.0000 0.0000 0.7744 1



Record 3
# Pm8Pr2Ga (PBE, relaxed)
# M_tot = 0.00 Bohr magnetons per cell
# DOS(E_F) = 1.44 states/eV/atom
# total energy = -0.3381 Ry per atom
data_Pm8Pr2Ga
_chemical_formula_sum 'Pm16 Pr4 Ga2'
_cell_length_a 17.985
_cell_length_b 5.556
_cell_length_c 7.830
_cell_angle_alpha 90.00
_cell_angle_beta 110.81
_cell_angle_gamma 90.00
_space_group_name_H-M_alt 'C 1 2/m 1'
_space_group_IT_number 12
_space_group_name_Hall '-C 2y'
loop_
_atom_site_label
_atom_site_fract_x
_atom_site_fract_y
_atom_site_fract_z
_atom_site_occupancy
Pm1 0.015 0.000 0.277 1
Pm2 0.099 0.500 0.915 1
Pm3 0.157 0.500 0.424 1
Pm4 0.182 0.000 0.726 1
Pr1 0.186 0.000 0.161 1
Ga1 0.000 0.500 0.500 1



Record 4
# MnGePCN (PBE, relaxed)
# M_tot = 0.84 Bohr magnetons per cell
# DOS(E_F) = 0.29 states/eV/atom
# total energy = -0.5204 Ry per atom
data_MnGePCN
_chemical_formula_sum 'Mn1 Ge1 P1 C1 N1'
_cell_length_a 3.351
_cell_length_b 4.353
_cell_length_c 4.889
_cell_angle_alpha 66.11
_cell_angle_beta 80.16
_cell_angle_gamma 71.10
_space_group_name_H-M_alt 'P 1'
_space_group_IT_number 1
_space_group_name_Hall 'P 1'
loop_
_atom_site_label
_atom_site_fract_x
_atom_site_fract_y
_atom_site_fract_z
_atom_site_occupancy
Mn1 0.000 0.000 0.000 1
Ge1 0.353 0.496 0.778 1
P1 0.595 0.638 0.254 1
C1 0.995 0.037 0.617 1
N1 0.879 0.180 0.345 1



Record 5
# KLi2AsRh (PBE, relaxed)
# M_tot = 0.00 Bohr magnetons per cell
# DOS(E_F) = 0.29 states/eV/atom
# total energy = -0.2733 Ry per atom
data_KLi2AsRh
_chemical_formula_sum 'K1 Li2 As1 Rh1'
_cell_length_a 4.983
_cell_length_b 4.983
_cell_length_c 4.636
_cell_angle_alpha 90.00
_cell_angle_beta 90.00
_cell_angle_gamma 90.00
_space_group_name_H-M_alt 'P 4/m m m'
_space_group_IT_number 123
_space_group_name_Hall '-P 4 2'
loop_
_atom_site_label
_atom_site_fract_x
_atom_site_fract_y
_atom_site_fract_z
_atom_site_occupancy
K1 0.000 0.000 0.000 1
Li1 0.000 0.500 0.500 1
As1 0.500 0.500 0.000 1
Rh1 0.500 0.500 0.500 1



Record 6
# LaSb2W (PBE, relaxed)
# M_tot = 0.46 Bohr magnetons per cell
# DOS(E_F) = 1.13 states/eV/atom
# total energy = -0.4822 Ry per atom
data_LaSb2W
_chemical_formula_sum 'La2 Sb4 W2'
_cell_length_a 3.595
_cell_length_b 3.955
_cell_length_c 14.740
_cell_angle_alpha 90.00
_cell_angle_beta 90.00
_cell_angle_gamma 90.00
_space_group_name_H-M_alt 'I m m 2'
_space_group_IT_number 44
_space_group_name_Hall 'I 2 -2'
loop_
_atom_site_label
_atom_site_fract_x
_atom_site_fract_y
_atom_site_fract_z
_atom_site_occupancy
La1 0.000 0.000 0.000 1
Sb1 0.000 0.000 0.621 1
Sb2 0.000 0.500 0.829 1
W1 0.000 0.500 0.258 1



Record 7
# YAg2B (PBE, relaxed)
# M_tot = 0.00 Bohr magnetons per cell
# DOS(E_F) = 0.43 states/eV/atom
# total energy = -0.3093 Ry per atom
data_YAg2B
_chemical_formula_sum 'Y4 Ag8 B4'
_cell_length_a 4.869
_cell_length_b 4.869
_cell_length_c 14.522
_cell_angle_alpha 90.00
_cell_angle_beta 90.00
_cell_angle_gamma 90.00
_space_group_name_H-M_alt 'I -4 2 d'
_space_group_IT_number 122
_space_group_name_Hall 'I -4 2bw'
loop_
_atom_site_label
_atom_site_fract_x
_atom_site_fract_y
_atom_site_fract_z
_atom_site_occupancy
Y1 0.000 0.000 0.000 1
Ag1 0.095 0.250 0.625 1
B1 0.000 0.000 0.500 1



Record 8
# Sc4InRu5 (PBE, relaxed)
# M_tot = 0.00 Bohr magnetons per cell
# DOS(E_F) = 1.18 states/eV/atom
# total energy = -0.5779 Ry per atom
data_Sc4InRu5
_chemical_formula_sum 'Sc4 In1 Ru5'
_cell_length_a 3.232
_cell_length_b 3.232
_cell_length_c 15.920
_cell_angle_alpha 90.00
_cell_angle_beta 90.00
_cell_angle_gamma 90.00
_space_group_name_H-M_alt 'P 4/m m m'
_space_group_IT_number 123
_space_group_name_Hall '-P 4 2'
loop_
_atom_site_label
_atom_site_fract_x
_atom_site_fract_y
_atom_site_fract_z
_atom_site_occupancy
Sc1 0.000 0.000 0.100 1
Sc2 0.000 0.000 0.300 1
In1 0.000 0.000 0.500 1
Ru1 0.500 0.500 0.000 1
Ru2 0.500 0.500 0.200 1
Ru3 0.500 0.500 0.399 1



Record 9
# K12Au5O2 (PBE, relaxed)
# M_tot = 0.20 Bohr magnetons per cell
# DOS(E_F) = 0.56 states/eV/atom
# total energy = -0.1878 Ry per atom
data_K12Au5O2
_chemical_formula_sum 'K24 Au10 O4'
_cell_length_a 18.182
_cell_length_b 8.460
_cell_length_c 10.194
_cell_angle_alpha 90.00
_cell_angle_beta 106.27
_cell_angle_gamma 90.00
_space_group_name_H-M_alt 'C 1 2/m 1'
_space_group_IT_number 12
_space_group_name_Hall '-C 2y'
loop_
_atom_site_label
_atom_site_fract_x
_atom_site_fract_y
_atom_site_fract_z
_atom_site_occupancy
K1 0.000 0.000 0.167 1
K2 0.000 0.500 0.171 1
K3 0.147 0.253 0.574 1
K4 0.149 0.259 0.074 1
Au1 0.000 0.000 0.500 1
Au2 0.200 0.500 0.846 1
Au3 0.201 0.500 0.354 1
O1 0.000 0.247 0.000 1



Record 10
# UMn2Ir (PBE, relaxed)
# M_tot = 2.52 Bohr magnetons per cell
# DOS(E_F) = 1.43 states/eV/atom
# total energy = -0.7198 Ry per atom
data_UMn2Ir
_chemical_formula_sum 'U1 Mn2 Ir1'
_cell_length_a 3.968
_cell_length_b 3.968
_cell_length_c 3.827
_cell_angle_alpha 90.00
_cell_angle_beta 90.00
_cell_angle_gamma 90.00
_space_group_name_H-M_alt 'P 4/m m m'
_space_group_IT_number 123
_space_group_name_Hall '-P 4 2'
loop_
_atom_site_label
_atom_site_fract_x
_atom_site_fract_y
_atom_site_fract_z
_atom_site_occupancy
U1 0.000 0.000 0.000 1
Mn1 0.000 0.500 0.500 1
Ir1 0.500 0.500 0.000 1



Record 11
# AgBH2 (PBE, relaxed)
# M_tot = 0.00 Bohr magnetons per cell
# DOS(E_F) = 0.17 states/eV/atom
# total energy = -0.2388 Ry per atom
data_AgBH2
_chemical_formula_sum 'Ag4 B4 H8'
_cell_length_a 3.862
_cell_length_b 3.862
_cell_length_c 9.120
_cell_angle_alpha 90.00
_cell_angle_beta 90.00
_cell_angle_gamma 90.00
_space_group_name_H-M_alt 'I 41/a m d'
_space_group_IT_number 141
loop_
_space_group_symop_operation_xyz
'x,y,z'
'-x,-y,-z'
'-y+1/4,x+3/4,z+1/4'
'y+1/4,-x+3/4,-z+1/4'
'-x+1/2,-y,z+1/2'
'x+1/2,y,-z+1/2'
'y+1/4,-x+1/4,z+3/4'
'-y+1/4,x+1/4,-z+3/4'
'x,-y,-z'
'-x,y,z'
'-y+1/4,-x+1/4,-z+3/4'
'y+1/4,x+1/4,z+3/4'
'-x+1/2,y,-z+1/2'
'x+1/2,-y,z+1/2'
'y+1/4,x+3/4,-z+1/4'
'-y+1/4,-x+3/4,z+1/4'
'x+1/2,y+1/2,z+1/2'
'-x+1/2,-y+1/2,-z+1/2'
'-y+3/4,x+1/4,z+3/4'
'y+3/4,-x+1/4,-z+3/4'
'-x,-y+1/2,z'
'x,y+1/2,-z'
'y+3/4,-x+3/4,z+1/4'
'-y+3/4,x+3/4,-z+1/4'
'x+1/2,-y+1/2,-z+1/2'
'-x+1/2,y+1/2,z+1/2'
'-y+3/4,-x+3/4,-z+1/4'
'y+3/4,x+3/4,z+1/4'
'-x,y+1/2,-z'
'x,-y+1/2,z'
'y+3/4,x+1/4,-z+3/4'
'-y+3/4,-x+1/4,z+3/4'
loop_
_atom_site_label
_atom_site_fract_x
_atom_site_fract_y
_atom_site_fract_z
_atom_site_occupancy
Ag1 0.000 0.250 0.375 1
B1 0.000 0.250 0.875 1
H1 0.000 0.000 0.000 1



Record 12
# CaLa2CdNi (PBE, relaxed)
# M_tot = 0.00 Bohr magnetons per cell
# DOS(E_F) = 1.38 states/eV/atom
# total energy = -0.2838 Ry per atom
data_CaLa2CdNi
_chemical_formula_sum 'Ca1 La2 Cd1 Ni1'
_cell_length_a 5.353
_cell_length_b 5.353
_cell_length_c 5.613
_cell_angle_alpha 90.00
_cell_angle_beta 90.00
_cell_angle_gamma 90.00
_space_group_name_H-M_alt 'P 4/m m m'
_space_group_IT_number 123
_space_group_name_Hall '-P 4 2'
loop_
_atom_site_label
_atom_site_fract_x
_atom_site_fract_y
_atom_site_fract_z
_atom_site_occupancy
Ca1 0.000 0.000 0.000 1
La1 0.000 0.500 0.500 1
Cd1 0.500 0.500 0.000 1
Ni1 0.000 0.000 0.500 1



Record 13
# CsIF5 (PBE, relaxed)
# M_tot = 0.44 Bohr magnetons per cell
# DOS(E_F) = 0.21 states/eV/atom
# total energy = -0.2619 Ry per atom
data_CsIF5
_chemical_formula_sum 'Cs2 I2 F10'
_cell_length_a 10.715
_cell_length_b 4.905
_cell_length_c 6.812
_cell_angle_alpha 90.00
_cell_angle_beta 118.90
_cell_angle_gamma 90.00
_space_group_name_H-M_alt 'C 1 2/m 1'
_space_group_IT_number 12
_space_group_name_Hall '-C 2y'
loop_
_atom_site_label
_atom_site_fract_x
_atom_site_fract_y
_atom_site_fract_z
_atom_site_occupancy
Cs1 0.000 0.000 0.000 1
I1 0.000 0.500 0.500 1
F1 0.000 0.000 0.500 1
F2 0.118 0.500 0.340 1
F3 0.174 0.500 0.807 1



Record 14
# MgZrW3 (PBE, relaxed)
# M_tot = 0.00 Bohr magnetons per cell
# DOS(E_F) = 0.59 states/eV/atom
# total energy = -0.5503 Ry per atom
data_MgZrW3
_chemical_formula_sum 'Mg1 Zr1 W3'
_cell_length_a 4.856
_cell_length_b 4.856
_cell_length_c 4.856
_cell_angle_alpha 90.00
_cell_angle_beta 90.00
_cell_angle_gamma 90.00
_space_group_name_H-M_alt 'P m -3 m'
_space_group_IT_number 221
_space_group_name_Hall '-P 4 2 3'
loop_
_atom_site_label
_atom_site_fract_x
_atom_site_fract_y
_atom_site_fract_z
_atom_site_occupancy
Mg1 0.000 0.000 0.000 1
Zr1 0.500 0.500 0.500 1
W1 0.000 0.500 0.500 1



Record 15
# PaZn4Ga3O12 (PBE, relaxed)
# M_tot = 0.00 Bohr magnetons per cell
# DOS(E_F) = 0.58 states/eV/atom
# total energy = -0.4196 Ry per atom
data_PaZn4Ga3O12
_chemical_formula_sum 'Pa2 Zn8 Ga6 O24'
_cell_length_a 7.539
_cell_length_b 7.539
_cell_length_c 7.539
_cell_angle_alpha 90.00
_cell_angle_beta 90.00
_cell_angle_gamma 90.00
_space_group_name_H-M_alt 'I m -3'
_space_group_IT_number 204
_space_group_name_Hall '-I 2 2 3'
loop_
_atom_site_label
_atom_site_fract_x
_atom_site_fract_y
_atom_site_fract_z
_atom_site_occupancy
Pa1 0.000 0.000 0.000 1
Zn1 0.250 0.250 0.250 1
Ga1 0.000 0.000 0.500 1
O1 0.000 0.302 0.164 1



Record 16
# Ho6CoBi2 (PBE, relaxed)
# M_tot = 0.00 Bohr magnetons per cell
# DOS(E_F) = 1.05 states/eV/atom
# total energy = -0.3741 Ry per atom
data_Ho6CoBi2
_chemical_formula_sum 'Ho12 Co2 Bi4'
_cell_length_a 6.440
_cell_length_b 7.862
_cell_length_c 11.873
_cell_angle_alpha 90.00
_cell_angle_beta 120.75
_cell_angle_gamma 90.00
_space_group_name_H-M_alt 'P 1 21/c 1'
_space_group_IT_number 14
_space_group_name_Hall '-P 2ybc'
loop_
_atom_site_label
_atom_site_fract_x
_atom_site_fract_y
_atom_site_fract_z
_atom_site_occupancy
Ho1 0.110 0.182 0.463 1
Ho2 0.323 0.688 0.462 1
Ho3 0.375 0.018 0.255 1
Co1 0.500 0.000 0.500 1
Bi1 0.155 0.111 0.750 1



Record 17
# LaS3F (PBE, relaxed)
# M_tot = 4.00 Bohr magnetons per cell
# DOS(E_F) = 1.34 states/eV/atom
# total energy = -0.2930 Ry per atom
data_LaS3F
_chemical_formula_sum 'La1 S3 F1'
_cell_length_a 5.617
_cell_length_b 5.617
_cell_length_c 5.617
_cell_angle_alpha 90.00
_cell_angle_beta 90.00
_cell_angle_gamma 90.00
_space_group_name_H-M_alt 'P m -3 m'
_space_group_IT_number 221
_space_group_name_Hall '-P 4 2 3'
loop_
_atom_site_label
_atom_site_fract_x
_atom_site_fract_y
_atom_site_fract_z
_atom_site_occupancy
La1 0.000 0.000 0.000 1
S1 0.000 0.000 0.500 1
F1 0.500 0.500 0.500 1



Record 18
# Ce5PrTh4 (PBE, relaxed)
# M_tot = 0.00 Bohr magnetons per cell
# DOS(E_F) = 2.02 states/eV/atom
# total energy = -0.4692 Ry per atom
data_Ce5PrTh4
_chemical_formula_sum 'Ce5 Pr1 Th4'
_cell_length_a 3.493
_cell_length_b 3.493
_cell_length_c 24.601
_cell_angle_alpha 90.00
_cell_angle_beta 90.00
_cell_angle_gamma 90.00
_space_group_name_H-M_alt 'P 4/m m m'
_space_group_IT_number 123
_space_group_name_Hall '-P 4 2'
loop_
_atom_site_label
_atom_site_fract_x
_atom_site_fract_y
_atom_site_fract_z
_atom_site_occupancy
Ce1 0.000 0.000 0.000 1
Ce2 0.000 0.000 0.197 1
Ce3 0.000 0.000 0.392 1
Pr1 0.500 0.500 0.500 1
Th1 0.500 0.500 0.098 1
Th2 0.500 0.500 0.295 1



Record 19
# Ga2As2Pb (PBE, relaxed)
# M_tot = 0.00 Bohr magnetons per cell
# DOS(E_F) = 0.39 states/eV/atom
# total energy = -0.2786 Ry per atom
data_Ga2As2Pb
_chemical_formula_sum 'Ga4 As4 Pb2'
_cell_length_a 4.964
_cell_length_b 4.964
_cell_length_c 9.111
_cell_angle_alpha 90.00
_cell_angle_beta 90.00
_cell_angle_gamma 90.00
_space_group_name_H-M_alt 'I 4/m m m'
_space_group_IT_number 139
_space_group_name_Hall '-I 4 2'
loop_
_atom_site_label
_atom_site_fract_x
_atom_site_fract_y
_atom_site_fract_z
_atom_site_occupancy
Ga1 0.000 0.000 0.137 1
As1 0.000 0.500 0.250 1
Pb1 0.000 0.000 0.500 1



Record 20
# EuErSiAg (PBE, relaxed)
# M_tot = 29.02 Bohr magnetons per cell
# DOS(E_F) = 1.46 states/eV/atom
# total energy = -0.4546 Ry per atom
data_EuErSiAg
_chemical_formula_sum 'Eu4 Er4 Si4 Ag4'
_cell_length_a 7.249
_cell_length_b 7.249
_cell_length_c 7.249
_cell_angle_alpha 90.00
_cell_angle_beta 90.00
_cell_angle_gamma 90.00
_space_group_name_H-M_alt 'F -4 3 m'
_space_group_IT_number 216
_space_group_name_Hall 'F -4 2 3'
loop_
_atom_site_label
_atom_site_fract_x
_atom_site_fract_y
_atom_site_fract_z
_atom_site_occupancy
Eu1 0.000 0.000 0.000 1
Er1 0.000 0.000 0.500 1
Si1 0.250 0.250 0.750 1
Ag1 0.250 0.250 0.250 1